VASP calculation (PBE) on Ba3Li2Er2Tl4 after structural relaxation.

Summary:
Energy relative to the elements (eV per atom): -0.14

Lattice parameters (Å, degrees): 5.357 5.357 15.532 90.00 90.00 120.00
Fractional coordinates of all 11 atoms:
1 Tl 0.667 0.333 0.628
2 Tl 0.667 0.333 0.141
3 Tl 0.333 0.667 0.859
4 Tl 0.333 0.667 0.372
5 Li 0.667 0.333 0.848
6 Li 0.333 0.667 0.152
7 Ba 0.000 0.000 0.000
8 Ba 0.000 0.000 0.263
9 Ba 0.000 0.000 0.737
10 Er 0.333 0.667 0.567
11 Er 0.667 0.333 0.433

---

VASP calculation (PBE) on PaCu2TeO8 after structural relaxation.

Summary:
Raw formation energy (eV per formula unit): -15.66

Lattice parameters (Å, degrees): 5.810 5.810 5.810 109.75 109.75 108.92
Last column: magnetic moment on the atom in μB.
Fractional coordinates of all 12 atoms:
1 Cu 0.750 0.250 0.500  0.61
2 Cu 0.500 0.500 0.000  0.71
3 O 0.284 0.459 0.176  0.20
4 O 0.348 0.047 0.301  0.14
5 O 0.284 0.108 0.824  0.20
6 O 0.746 0.047 0.699  0.14
7 O 0.953 0.652 0.699  0.14
8 O 0.892 0.716 0.176  0.20
9 O 0.953 0.254 0.301  0.14
10 O 0.541 0.716 0.824  0.20
11 Te 0.000 0.000 0.000  -0.01
12 Pa 0.250 0.750 0.500  0.11

---

VASP calculation (PBE) on TbSn3Pd3 after structural relaxation.

Summary:
Energy relative to the elements (eV per atom): -0.09

Lattice parameters (Å, degrees): 7.241 7.241 7.241 90.00 90.00 90.00
Fractional coordinates of all 14 atoms:
1 Sn 0.000 0.250 0.500
2 Sn 0.750 0.500 0.000
3 Sn 0.000 0.750 0.500
4 Sn 0.250 0.500 0.000
5 Sn 0.500 0.000 0.750
6 Sn 0.500 0.000 0.250
7 Pd 0.000 0.500 0.750
8 Pd 0.750 0.000 0.500
9 Pd 0.000 0.500 0.250
10 Pd 0.500 0.750 0.000
11 Pd 0.250 0.000 0.500
12 Pd 0.500 0.250 0.000
13 Tb 0.000 0.000 0.000
14 Tb 0.500 0.500 0.500

---

VASP calculation (PBE) on Sc4SnPd7 after structural relaxation.

Summary:
Energy relative to the elements (eV per atom): -0.65

Lattice parameters (Å, degrees): 4.986 8.952 5.886 79.67 64.95 73.83
Fractional coordinates of all 12 atoms:
1 Sc 0.410 0.777 0.403
2 Sc 0.227 0.352 0.194
3 Sc 0.590 0.223 0.597
4 Sc 0.773 0.648 0.806
5 Pd 0.212 0.087 0.488
6 Pd 0.788 0.913 0.512
7 Pd 0.364 0.526 0.746
8 Pd 0.636 0.474 0.254
9 Pd 0.071 0.677 0.180
10 Pd 0.500 0.000 0.000
11 Pd 0.929 0.323 0.820
12 Sn 0.000 0.000 0.000

---

VASP calculation (PBE) on GdMg2Zr after structural relaxation.

Summary:
Energy relative to the elements (eV per atom): 0.05
E above lowest polymorph (eV per atom): 0.032

Lattice parameters (Å, degrees): 5.179 5.179 5.179 60.00 60.00 60.00
Last column: magnetic moment on the atom in μB.
Fractional coordinates of all 4 atoms:
1 Gd 0.000 0.000 0.000  7.14
2 Mg 0.250 0.250 0.250  0.00
3 Mg 0.750 0.750 0.750  0.00
4 Zr 0.500 0.500 0.500  0.10

---

VASP calculation (PBE) on CsRb4Na2 after structural relaxation.

Summary:
Energy relative to the elements (eV per atom): 0.04
E above lowest polymorph (eV per atom): 0.000

Lattice parameters (Å, degrees): 6.440 6.828 13.164 105.03 90.00 90.00
Fractional coordinates of all 7 atoms:
1 Cs 0.000 0.000 0.000
2 Rb 0.000 0.675 0.349
3 Rb 0.000 0.325 0.651
4 Rb 0.500 0.829 0.658
5 Rb 0.500 0.171 0.342
6 Na 0.500 0.434 0.867
7 Na 0.500 0.566 0.133

---

VASP calculation (PBE) on Ho6TlTe3Pb2 after structural relaxation.

Summary:
Raw formation energy (eV per formula unit): -10.22

Lattice parameters (Å, degrees): 4.379 8.823 9.915 106.03 102.76 90.00
Fractional coordinates of all 12 atoms:
1 Ho 0.001 0.753 0.003
2 Ho 0.999 0.247 0.997
3 Ho 0.335 0.917 0.669
4 Ho 0.669 0.573 0.338
5 Ho 0.665 0.083 0.331
6 Ho 0.331 0.427 0.662
7 Te 0.500 0.500 0.000
8 Te 0.168 0.829 0.336
9 Te 0.832 0.171 0.664
10 Pb 0.836 0.674 0.671
11 Pb 0.164 0.326 0.329
12 Tl 0.500 0.000 0.000

---

VASP calculation (PBE) on ScBeCd2 after structural relaxation.

Summary:
Energy relative to the elements (eV per atom): 0.03
E above lowest polymorph (eV per atom): 0.022

Lattice parameters (Å, degrees): 4.216 3.179 5.867 74.26 90.00 90.00
Fractional coordinates of all 4 atoms:
1 Cd 0.500 0.190 0.244
2 Cd 0.000 0.817 0.989
3 Be 0.500 0.950 0.725
4 Sc 0.000 0.542 0.542

---

VASP calculation (PBE) on CdGaSn2Hg after structural relaxation.

Summary:
Energy relative to the elements (eV per atom): 0.32

Lattice parameters (Å, degrees): 5.398 5.135 5.398 90.00 90.00 90.00
Fractional coordinates of all 5 atoms:
1 Hg 0.500 0.500 0.500
2 Sn 0.500 0.000 0.000
3 Sn 0.000 0.000 0.500
4 Ga 0.000 0.000 0.000
5 Cd 0.000 0.500 0.000

---

VASP calculation (PBE) on SmEu2Dy after structural relaxation.

Summary:
Energy relative to the elements (eV per atom): 0.16
E above lowest polymorph (eV per atom): 0.064

Lattice parameters (Å, degrees): 4.050 5.961 5.961 90.00 90.00 90.00
Last column: magnetic moment on the atom in μB.
Fractional coordinates of all 4 atoms:
1 Eu 0.000 0.500 0.000  -6.86
2 Eu 0.000 0.000 0.500  -6.86
3 Dy 0.500 0.500 0.500  -0.14
4 Sm 0.500 0.000 0.000  -0.12

---

Repeat the eighth record exactly.
VASP calculation (PBE) on ScBeCd2 after structural relaxation.

Summary:
Energy relative to the elements (eV per atom): 0.03
E above lowest polymorph (eV per atom): 0.022

Lattice parameters (Å, degrees): 4.216 3.179 5.867 74.26 90.00 90.00
Fractional coordinates of all 4 atoms:
1 Cd 0.500 0.190 0.244
2 Cd 0.000 0.817 0.989
3 Be 0.500 0.950 0.725
4 Sc 0.000 0.542 0.542